1.
First-principles (PBE) data for a relaxed CsAlAsSe2 crystal, as listed in Alexandria.

```
CsAlAsSe2
1.0
-3.472 -4.893 -0.583
3.788 -2.181 -4.253
3.204 -2.783 4.281
Cs As Al Se
1 1 1 2
Direct
0.000 0.000 0.000
0.000 0.500 0.000
0.500 0.500 0.500
0.000 0.000 0.500
0.500 0.000 0.000
```

Output
Its formation energy without anion corrections is 598 kJ/mol of formula units. As for the density of states at the Fermi level: 3.4 states/eV/f.u. The value obtained for the total energy is -2.004 eV/atom.


2.
First-principles (PBE) data for a relaxed CsAl2AsW crystal, as listed in Alexandria.

```
CsAl2AsW
1.0
5.613 0.000 0.000
0.000 5.308 0.000
0.000 0.000 5.613
Cs As Al W
1 1 2 1
Direct
0.000 0.000 0.000
0.500 0.500 0.500
0.000 0.000 0.500
0.500 0.000 0.000
0.000 0.500 0.000
```

Output
As for the formation enthalpy at 0 K: 2794 meV/atom. As for the density of states at the Fermi level: 4.2 states/eV/f.u. The value obtained for the total energy is -2.394 eV/atom.


3.
First-principles (PBE) data for a relaxed CsAlZn2As crystal, as listed in Alexandria.

```
CsAlZn2As
1.0
-4.165 -0.125 -2.903
-2.828 -4.487 4.251
-1.994 3.813 2.698
Cs As Zn Al
1 1 2 1
Direct
0.000 0.500 0.000
0.000 0.000 0.000
0.000 0.000 0.500
0.500 0.000 0.000
0.500 0.500 0.500
```

Output
As for the formation enthalpy at 0 K: 574 meV/atom. As for the density of states at the Fermi level: 5.8 states/eV/f.u. The value obtained for the total energy is -1.785 eV/atom.


4.
First-principles (PBE) data for a relaxed CsAlZnAs2 crystal, as listed in Alexandria.

```
CsAlZnAs2
1.0
-1.676 -4.118 4.423
-0.194 -5.972 -5.634
5.651 0.585 2.687
Cs Al Zn As
2 2 2 4
Direct
0.238 0.500 0.750
0.762 0.500 0.250
0.500 0.000 0.250
0.500 0.000 0.750
0.000 0.000 0.000
0.000 0.000 0.500
0.710 0.803 0.902
0.710 0.197 0.598
0.290 0.803 0.402
0.290 0.197 0.098
```

Output
As for the formation enthalpy at 0 K: -461 meV/atom. The value obtained for the total energy is -3.495 eV/atom.


5.
First-principles (PBE) data for a relaxed AlCu2As crystal, as listed in Alexandria.

```
AlCu2As
1.0
-1.992 1.787 -3.434
-0.932 -0.772 -4.182
-4.706 -2.046 0.334
As Al Cu
1 1 2
Direct
0.750 0.750 0.750
0.250 0.250 0.250
0.997 0.997 0.032
0.503 0.503 0.468
```

Output
As for the formation enthalpy at 0 K: -1 meV/atom. As for the density of states at the Fermi level: 1.1 states/eV/f.u. The value obtained for the total energy is -4.147 eV/atom.


6.
First-principles (PBE) data for a relaxed AlCu2As crystal, as listed in Alexandria.

```
AlCu2As
1.0
-1.246 -5.346 2.544
3.867 0.551 -2.458
1.578 -0.879 2.294
As Al Cu
1 1 2
Direct
0.500 0.500 0.000
0.000 0.500 0.500
0.000 0.000 0.000
0.500 0.000 0.500
```

Output
As for the formation enthalpy at 0 K: 49 meV/atom. As for the density of states at the Fermi level: 1.2 states/eV/f.u. The value obtained for the total energy is -4.098 eV/atom.


7.
First-principles (PBE) data for a relaxed AlCu2As crystal, as listed in Alexandria.

```
AlCu2As
1.0
-1.271 -2.775 3.589
-0.845 -2.014 -1.857
4.032 -1.669 0.138
As Al Cu
1 1 2
Direct
0.500 0.862 0.722
0.000 0.390 0.527
0.000 0.887 0.032
0.500 0.360 0.219
```

Output
As for the formation enthalpy at 0 K: 57 meV/atom. As for the density of states at the Fermi level: 1.2 states/eV/f.u. The value obtained for the total energy is -4.089 eV/atom.


8.
First-principles (PBE) data for a relaxed AlCu2As crystal, as listed in Alexandria.

```
AlCu2As
1.0
0.550 -1.477 4.101
-3.399 -1.718 2.190
-0.132 -4.315 0.817
As Al Cu
1 1 2
Direct
0.500 0.500 0.500
0.000 0.000 0.000
0.250 0.250 0.250
0.750 0.750 0.750
```

Output
As for the formation enthalpy at 0 K: 125 meV/atom. As for the density of states at the Fermi level: 0.4 states/eV/f.u. The value obtained for the total energy is -4.021 eV/atom.